VASP calculation (PBE with a Hubbard U) on a geometry-optimized K3Sm3CoO8 structure.

Lattice parameters (Å, degrees): 6.8983 6.8983 18.8881 90.00 90.00 120.00
Space group R-3m (No. 166, hexagonal axes)
Asymmetric unit:
K: 0.0000 0.5000 0.0000 (multiplicity 9)
Sm: 0.0000 0.5000 0.5000 (multiplicity 9)
Co: 0.0000 0.0000 0.5000 (multiplicity 3)
O: 0.0000 0.0000 0.2298 (multiplicity 6)
O: 0.0367 0.5184 0.2245 (multiplicity 18)

Calculated values
total energy	-6.3339	eV/atom
density	4.83	g/cm³